{
  "formula": "BaReSn2",
  "functional": "GGA-PBEsol",
  "state": "relaxed",
  "cell": [[5.087, 0.000, 0.000], [2.544, 4.406, 0.000], [2.544, 1.469, 4.154]],
  "species": ["Re", "Ba", "Sn", "Sn"],
  "fractional_positions": [[0.500, 0.500, 0.500], [0.000, 0.000, 0.000], [0.250, 0.250, 0.250], [0.750, 0.750, 0.750]],
  "e_tot_ev_per_atom": -5.495,
  "formation_enthalpy_0k_ev_per_atom": 0.505
}